Record 1
DFT (PBE-GGA) results for a relaxed Nd2Sm4Tm crystal.

```
14
Lattice="6.205 0.000 -0.222 0.000 6.680 0.000 -2.359 0.000 11.463" Properties=species:S:1:pos:R:3 pbc="T T T"
Tm 0.507 5.010 1.819
Tm 3.339 1.670 9.422
Sm -0.124 5.010 5.110
Sm -1.831 5.010 9.871
Sm 3.348 6.612 3.130
Sm 5.677 1.670 1.370
Sm 3.971 1.670 6.131
Sm 3.348 3.408 3.130
Sm 0.499 0.068 8.111
Sm 0.499 3.272 8.111
Nd 1.411 5.010 11.247
Nd 0.781 1.670 4.795
Nd 2.435 1.670 -0.007
Nd 3.065 5.010 6.446
```

ΔE_f (eV/atom): 0.124
SG: P2_1/m, No. 11
Size of the total moment (Bohr magnetons per cell): 0.00
Energy above the most stable polymorph in this dataset (eV per atom): 0.0000

***

Record 2
DFT (PBE-GGA) results for a relaxed Nd3SmTm crystal.

```
10
Lattice="-2.197 -0.451 -5.042 9.023 0.352 -0.932 0.327 -7.080 0.491" Properties=species:S:1:pos:R:3 pbc="T T T"
Sm 2.282 -5.486 -3.518
Sm 4.872 -1.694 -1.965
Nd 5.337 -3.658 -5.010
Nd 5.174 -0.134 -5.255
Nd 1.980 -7.046 -0.228
Nd 2.116 -1.946 -3.763
Nd 5.038 -5.234 -1.720
Nd 1.817 -3.522 -0.473
Tm 8.004 -1.644 -3.329
Tm -0.850 -5.536 -2.154
```

ΔE_f (eV/atom): 0.068
SG: P2_1/m, No. 11
Size of the total moment (Bohr magnetons per cell): 0.00
Energy above the most stable polymorph in this dataset (eV per atom): 0.0000

***

Record 3
DFT (PBE-GGA) results for a relaxed Nd4SmTm6 crystal.

```
11
Lattice="7.456 -2.882 -5.448 -5.144 7.980 1.851 -1.858 2.882 9.045" Properties=species:S:1:pos:R:3 pbc="T T T"
Nd -3.292 5.107 1.307
Nd -2.277 8.917 7.359
Nd -1.254 1.946 5.768
Nd 0.275 2.873 1.911
Tm -4.954 7.686 5.520
Tm 2.799 0.000 1.799
Tm 3.416 0.295 -1.352
Tm -3.785 5.872 8.080
Tm 1.156 2.549 -1.799
Tm -1.225 4.991 4.097
Sm 0.000 0.000 0.000
```

ΔE_f (eV/atom): 0.304
SG: I-42m, No. 121
Size of the total moment (Bohr magnetons per cell): 0.00
Energy above the most stable polymorph in this dataset (eV per atom): 0.1459

***

Record 4
DFT (PBE-GGA) results for a relaxed NdSm5Tm2 crystal.

```
16
Lattice="8.103 -3.767 0.000 -12.000 11.463 0.000 0.000 0.000 11.430" Properties=species:S:1:pos:R:3 pbc="T T T"
Sm -6.467 8.603 4.838
Sm 0.639 1.585 2.858
Sm -4.238 5.996 0.874
Sm -6.467 8.603 0.877
Sm 0.341 1.700 6.589
Sm -4.536 6.111 8.573
Sm 2.571 -0.907 10.553
Sm 0.341 1.700 10.557
Sm -4.238 5.996 4.842
Sm 2.571 -0.907 6.592
Nd -7.308 8.409 8.573
Nd 3.411 -0.713 2.858
Tm -1.397 4.003 4.362
Tm -2.499 3.693 10.077
Tm -1.397 4.003 1.354
Tm -2.499 3.693 7.069
```

ΔE_f (eV/atom): 0.161
SG: P2_1/m, No. 11
Size of the total moment (Bohr magnetons per cell): 0.00
Energy above the most stable polymorph in this dataset (eV per atom): 0.1452